NbSb2TeI after structural relaxation. Source: Alexandria, functional PBE-GGA.

Calculated values
crystal system: tetragonal
energy above the lowest structure with this stoichiometry: 1410 meV/atom
uncorrected energy: -0.11160 Ha/atom
formation energy from raw total energies: 1564.4 meV per atom

Lattice parameters (Å, degrees): 5.6834 5.6834 5.6396 90.00 90.00 90.00
Closest atoms and distances in Å follow each position.
Element x y z (fractional)
1 Sb 0.0000 0.5000 0.0000  2 I 2.84
2 I 0.0000 0.0000 0.0000  2 Te 2.82, 4 Sb 2.84
3 Nb 0.5000 0.5000 0.5000  8 Sb 4.00, 4 Te 4.02
4 Te 0.0000 0.0000 0.5000  2 I 2.82
5 Sb 0.5000 0.0000 0.0000  2 I 2.84

Tm2CuAu after structural relaxation. Source: Alexandria, functional PBE-GGA.

Calculated values
crystal system: orthorhombic
energy above the lowest structure with this stoichiometry: 0 meV/atom
uncorrected energy: -0.17150 Ha/atom

Lattice parameters (Å, degrees): 3.4977 4.9404 9.8624 90.00 90.00 90.00
Closest atoms and distances in Å follow each position.
Element x y z (fractional)
1 Tm 0.0000 0.2500 0.6313  2 Cu 3.03, 6 Au 3.03-3.11
2 Au 0.5000 0.7500 0.6292  8 Tm 3.03-3.11
3 Au 0.5000 0.2500 0.3708  8 Tm 3.03-3.11
4 Tm 0.0000 0.7500 0.8810  6 Cu 2.92-3.03, 2 Au 3.04
5 Tm 0.0000 0.2500 0.1190  6 Cu 2.92-3.03, 2 Au 3.04
6 Cu 0.5000 0.2500 0.8817  8 Tm 2.92-3.03
7 Tm 0.0000 0.7500 0.3687  2 Cu 3.03, 6 Au 3.03-3.11
8 Cu 0.5000 0.7500 0.1183  8 Tm 2.92-3.03

Li4ErMg after structural relaxation. Source: Alexandria, functional PBE-GGA.

Calculated values
crystal system: cubic
uncorrected energy: -0.08340 Ha/atom

Lattice parameters (Å, degrees): 5.6372 5.6372 5.6372 60.00 60.00 60.00
Closest atoms and distances in Å follow each position.
Element x y z (fractional)
1 Li 0.6259 0.6259 0.6259  6 Li 2.80-2.84
2 Mg 0.0000 0.0000 0.0000  12 Li 3.30, 4 Er 3.45
3 Li 0.6259 0.6259 0.1222  6 Li 2.80-2.84
4 Li 0.1222 0.6259 0.6259  6 Li 2.80-2.84
5 Li 0.6259 0.1222 0.6259  6 Li 2.80-2.84
6 Er 0.2500 0.2500 0.2500  12 Li 3.31, 4 Mg 3.45

LaDyTeAs after structural relaxation. Source: Alexandria, functional PBE-GGA.

Calculated values
crystal system: trigonal
uncorrected energy: -0.21435 Ha/atom
formation energy from raw total energies: -1502.7 meV per atom

Lattice parameters (Å, degrees): 4.2503 4.2506 7.9535 90.00 105.50 120.00
Closest atoms and distances in Å follow each position.
Element x y z (fractional)
1 Te 0.9767 0.3864 0.3783  3 Dy 3.20, 3 La 3.32
2 As 0.2961 0.5460 0.8574  3 Dy 2.91, 3 La 2.99
3 Dy 0.4915 0.1437 0.6504  3 As 2.91, 3 Te 3.20
4 La 0.1136 0.9547 0.0835  3 As 2.99, 3 Te 3.32

SmZn9Ni2 after structural relaxation. Source: Alexandria, functional PBE-GGA.

Calculated values
crystal system: hexagonal
energy above the lowest structure with this stoichiometry: 104 meV/atom
uncorrected energy: -0.09109 Ha/atom

Lattice parameters (Å, degrees): 3.5135 8.0405 8.0405 120.00 90.00 90.00
Closest atoms and distances in Å follow each position.
Element x y z (fractional)
1 Zn 0.0000 0.5000 0.0000  2 Ni 2.32
2 Zn 0.5000 0.8006 0.6012  2 Ni 2.56, 6 Zn 2.76-2.78
3 Zn 0.5000 0.8006 0.1994  2 Ni 2.56, 6 Zn 2.76-2.78
4 Zn 0.5000 0.3988 0.1994  2 Ni 2.56, 6 Zn 2.76-2.78
5 Zn 0.5000 0.1994 0.3988  2 Ni 2.56, 6 Zn 2.76-2.78
6 Zn 0.0000 0.5000 0.5000  2 Ni 2.32
7 Sm 0.0000 0.0000 0.0000  12 Zn 3.29, 2 Sm 3.51
8 Ni 0.0000 0.3333 0.6667  9 Zn 2.32-2.56
9 Zn 0.5000 0.1994 0.8006  2 Ni 2.56, 6 Zn 2.76-2.78
10 Ni 0.0000 0.6667 0.3333  9 Zn 2.32-2.56
11 Zn 0.5000 0.6012 0.8006  2 Ni 2.56, 6 Zn 2.76-2.78
12 Zn 0.0000 0.0000 0.5000  2 Ni 2.32

Ho3Zn8Ni3 after structural relaxation. Source: Alexandria, functional PBE-GGA.

Calculated values
crystal system: orthorhombic
uncorrected energy: -0.12119 Ha/atom

Lattice parameters (Å, degrees): 4.1883 7.9537 7.9537 70.48 74.73 74.73
Closest atoms and distances in Å follow each position.
Element x y z (fractional)
1 Zn 0.6171 0.6648 0.1010  3 Ni 2.47-2.54, 3 Zn 2.55-2.70
2 Ni 0.0000 0.2093 0.7907  6 Zn 2.51-2.54
3 Zn 0.3829 0.3352 0.8990  3 Ni 2.47-2.54, 3 Zn 2.55-2.70
4 Ho 0.1743 0.8257 0.8257  4 Ni 2.88-3.00, 8 Zn 2.98-3.11
5 Ho 0.8257 0.1743 0.1743  4 Ni 2.88-3.00, 8 Zn 2.98-3.11
6 Zn 0.3829 0.8990 0.3352  3 Ni 2.47-2.54, 3 Zn 2.55-2.70
7 Zn 0.1708 0.1888 0.4695  1 Ni 2.51, 4 Zn 2.55-2.70
8 Ho 0.5000 0.5000 0.5000  12 Zn 2.96-3.23
9 Ni 0.5000 0.0000 0.0000  4 Zn 2.47
10 Zn 0.8292 0.8112 0.5305  1 Ni 2.51, 4 Zn 2.55-2.70
11 Zn 0.6171 0.1010 0.6648  3 Ni 2.47-2.54, 3 Zn 2.55-2.70
12 Ni 0.0000 0.7907 0.2093  6 Zn 2.51-2.54
13 Zn 0.8292 0.5305 0.8112  1 Ni 2.51, 4 Zn 2.55-2.70
14 Zn 0.1708 0.4695 0.1888  1 Ni 2.51, 4 Zn 2.55-2.70

TcMo after structural relaxation. Source: Alexandria, functional PBE-GGA.

Calculated values
crystal system: monoclinic
energy above the lowest structure with this stoichiometry: 100 meV/atom
uncorrected energy: -0.38301 Ha/atom

Lattice parameters (Å, degrees): 2.7903 4.8652 4.7826 99.34 90.00 106.66
Closest atoms and distances in Å follow each position.
Element x y z (fractional)
1 Tc 0.4937 0.9875 0.5029  5 Tc 2.73-2.92, 7 Mo 2.74-2.80
2 Tc 0.7563 0.5125 0.2471  5 Tc 2.73-2.92, 7 Mo 2.74-2.80
3 Mo 0.0062 0.0124 0.0146  7 Tc 2.74-2.80, 5 Mo 2.77-2.93
4 Mo 0.2438 0.4876 0.7354  7 Tc 2.74-2.80, 5 Mo 2.77-2.93

Tl5HgI5 after structural relaxation. Source: Alexandria, functional PBE-GGA.

Calculated values
crystal system: monoclinic
uncorrected energy: -0.08472 Ha/atom
formation energy from raw total energies: -497.7 meV per atom

Lattice parameters (Å, degrees): 6.9427 11.7901 7.3145 105.70 118.33 90.00
Closest atoms and distances in Å follow each position.
Element x y z (fractional)
1 I 0.5000 0.0000 0.0000  2 Hg 3.47, 4 Tl 3.53-3.57
2 Hg 0.0000 0.0000 0.0000  2 Tl 3.35, 4 I 3.47-3.66
3 Tl 0.7274 0.8866 0.4547  1 Hg 3.35, 5 I 3.43-3.67
4 Tl 0.0000 0.5000 0.0000  4 I 3.41-3.48
5 Tl 0.6324 0.3103 0.2648  3 I 3.25-3.59
6 I 0.2145 0.3789 0.4289  5 Tl 3.43-3.65
7 I 0.8407 0.2090 0.6814  3 Tl 3.25-3.63
8 Tl 0.2726 0.1134 0.5453  1 Hg 3.35, 5 I 3.43-3.67
9 Tl 0.3676 0.6897 0.7352  3 I 3.25-3.59
10 I 0.1593 0.7910 0.3186  3 Tl 3.25-3.63
11 I 0.7855 0.6211 0.5711  5 Tl 3.43-3.65